AlRu2Rh meta-GGA SCAN PBEsol geometry; calculated formation energy = -257 meV per atom; total moment = 1.9 μB per formula unit
1.0
-1.922 -0.471 2.032
1.323 -4.109 0.300
2.955 1.175 3.067
Rh Ru Al
1 2 1
direct
0.000 0.500 0.500
0.000 0.000 0.000
0.500 0.500 0.000
0.500 0.000 0.500